(1)
## Pa2Pt9Au (PBE)

Data for a geometry-optimized Pa2Pt9Au structure.

a = 4.152 Å, b = 4.152 Å, c = 12.228 Å
α = 90.00°, β = 90.00°, γ = 90.00°
Fractional positions:
Pa 0.000 0.000 0.177
Pa 0.000 0.000 0.823
Pt 0.000 0.500 0.000
Pt 0.000 0.500 0.333
Pt 0.000 0.500 0.667
Pt 0.500 0.000 0.000
Pt 0.500 0.000 0.333
Pt 0.500 0.000 0.667
Pt 0.500 0.500 0.167
Pt 0.500 0.500 0.500
Pt 0.500 0.500 0.833
Au 0.000 0.000 0.500

Computed properties:
DOS(E_F) (states/eV/f.u.): 2.89
Formation enthalpy at 0 K (eV per formula unit): -8.8
Size of the total moment (μB per atom): 0.000
Mass density (Mg/m³): 19.03
Electronic total energy (eV/atom): -7.122

=====

(2)
## PaPt3Au (PBE)

Data for a geometry-optimized PaPt3Au structure.

a = 4.793 Å, b = 5.651 Å, c = 7.249 Å
α = 90.00°, β = 90.00°, γ = 90.00°
Fractional positions:
Pa 0.250 0.250 0.170
Pa 0.750 0.750 0.830
Pt 0.250 0.017 0.756
Pt 0.250 0.483 0.756
Pt 0.250 0.750 0.075
Pt 0.750 0.250 0.925
Pt 0.750 0.517 0.244
Pt 0.750 0.983 0.244
Au 0.250 0.750 0.442
Au 0.750 0.250 0.558

Computed properties:
DOS(E_F) (states/eV/f.u.): 2.71
Formation enthalpy at 0 K (eV per formula unit): -3.2
Size of the total moment (μB per atom): 0.000
Mass density (Mg/m³): 17.14
Electronic total energy (eV/atom): -6.821

=====

(3)
## PaPt5Au2 (PBE)

Data for a geometry-optimized PaPt5Au2 structure.

a = 8.599 Å, b = 8.599 Å, c = 8.599 Å
α = 151.90°, β = 151.90°, γ = 40.16°
Fractional positions:
Pa 0.000 0.000 0.000
Pt 0.123 0.623 0.500
Pt 0.377 0.877 0.500
Pt 0.500 0.500 0.000
Pt 0.623 0.123 0.500
Pt 0.877 0.377 0.500
Au 0.255 0.255 0.000
Au 0.745 0.745 0.000

Computed properties:
DOS(E_F) (states/eV/f.u.): 4.44
Formation enthalpy at 0 K (eV per formula unit): -4.4
Size of the total moment (μB per atom): 0.000
Mass density (Mg/m³): 18.88
Electronic total energy (eV/atom): -6.334

=====

(4)
## PaSbPtAu (PBE)

Data for a geometry-optimized PaSbPtAu structure.

a = 4.951 Å, b = 4.951 Å, c = 4.951 Å
α = 60.00°, β = 60.00°, γ = 60.00°
Fractional positions:
Pa 0.000 0.000 0.000
Sb 0.500 0.500 0.500
Pt 0.750 0.750 0.750
Au 0.250 0.250 0.250

Computed properties:
DOS(E_F) (states/eV/f.u.): 4.09
Uncorrected formation energy (eV/atom): -0.5588
Size of the total moment (μB per atom): 0.000
Mass density (Mg/m³): 14.41
Electronic total energy (eV/atom): -6.293

=====

(5)
## ScPaPtAu (PBE)

Data for a geometry-optimized ScPaPtAu structure.

a = 4.927 Å, b = 4.927 Å, c = 4.927 Å
α = 60.00°, β = 60.00°, γ = 60.00°
Fractional positions:
Sc 0.000 0.000 0.000
Pa 0.500 0.500 0.500
Pt 0.750 0.750 0.750
Au 0.250 0.250 0.250

Computed properties:
DOS(E_F) (states/eV/f.u.): 7.02
Formation enthalpy at 0 K (eV per formula unit): -2.7
Size of the total moment (μB per atom): 0.186
Mass density (Mg/m³): 13.12
Electronic total energy (eV/atom): -6.955

=====

(6)
## Pa2Si3Pt4Au (PBE)

Data for a geometry-optimized Pa2Si3Pt4Au structure.

a = 4.074 Å, b = 4.074 Å, c = 10.914 Å
α = 90.00°, β = 90.00°, γ = 90.00°
Fractional positions:
Pa 0.000 0.500 0.249
Pa 0.500 0.000 0.751
Si 0.000 0.500 0.877
Si 0.500 0.000 0.123
Si 0.500 0.500 0.500
Pt 0.000 0.000 0.000
Pt 0.000 0.500 0.665
Pt 0.500 0.000 0.335
Pt 0.500 0.500 0.000
Au 0.000 0.000 0.500

Computed properties:
DOS(E_F) (states/eV/f.u.): 6.42
Uncorrected formation energy (eV/atom): -0.8163
Size of the total moment (μB per atom): 0.000
Mass density (Mg/m³): 13.97
Electronic total energy (eV/atom): -7.086